Record 1
An optimized crystal structure of GdCdCuAu. Source: Alexandria via LeMat-Bulk, functional PBE.

Cell and atoms, written as POSCAR:
```
GdCdCuAu
1.0
-1.892 -3.096 -3.266
1.959 -0.343 -4.458
2.472 -4.011 -1.278
Gd Cd Cu Au
1 1 1 1
Direct
0.250 0.250 0.250
0.750 0.750 0.750
0.000 0.000 0.000
0.500 0.500 0.500
```

Output
V   82.26 Å³ per cell
Energy relative to the elements   -406 meV per atom

Record 2
An optimized crystal structure of CdCu2HAu. Source: Alexandria via LeMat-Bulk, functional PBE.

Cell and atoms, written as POSCAR:
```
CdCu2HAu
1.0
3.903 0.000 0.000
0.000 3.903 0.000
0.000 0.000 4.342
Cu H Au Cd
2 1 1 1
Direct
0.500 0.000 0.000
0.000 0.500 0.000
0.000 0.000 0.000
0.500 0.500 0.500
0.000 0.000 0.500
```

Output
V   66.15 Å³ per cell

Record 3
An optimized crystal structure of Cd2CuHAu. Source: Alexandria via LeMat-Bulk, functional PBE.

Cell and atoms, written as POSCAR:
```
Cd2CuHAu
1.0
-4.371 -2.189 0.943
1.293 -3.832 -2.905
1.277 -1.470 2.507
Cd H Cu Au
2 1 1 1
Direct
0.500 0.000 0.000
0.000 0.500 0.000
0.000 0.000 0.000
0.000 0.000 0.500
0.500 0.500 0.500
```

Output
V   78.70 Å³ per cell

Record 4
An optimized crystal structure of CdCu2HAu. Source: Alexandria via LeMat-Bulk, functional PBE.

Cell and atoms, written as POSCAR:
```
CdCu2HAu
1.0
-2.760 -0.725 -2.950
-2.738 -1.134 2.840
-1.255 3.695 0.266
Cu H Cd Au
2 1 1 1
Direct
0.500 0.000 0.000
0.000 0.500 0.000
0.000 0.000 0.000
0.500 0.500 0.500
0.000 0.000 0.500
```

Output
V   65.89 Å³ per cell

Record 5
An optimized crystal structure of CdCuHgAu. Source: Alexandria via LeMat-Bulk, functional PBE.

Cell and atoms, written as POSCAR:
```
CdCuHgAu
1.0
-1.177 1.451 4.319
1.436 -2.423 3.769
3.280 1.807 2.850
Au Hg Cd Cu
1 1 1 1
Direct
0.000 0.000 0.000
0.500 0.500 0.500
0.750 0.750 0.750
0.250 0.250 0.250
```

Output
V   73.68 Å³ per cell
Energy relative to the elements   67 meV per atom

Record 6
An optimized crystal structure of CdIn2Cu2Au5. Source: Alexandria via LeMat-Bulk, functional PBE.

Cell and atoms, written as POSCAR:
```
CdIn2Cu2Au5
1.0
-2.993 -1.195 2.534
0.425 -8.808 -3.652
6.509 -2.404 6.554
Cd Au In Cu
2 10 4 4
Direct
0.000 0.500 0.500
0.000 0.000 0.000
0.500 0.307 0.595
0.500 0.500 0.000
0.500 0.095 0.807
0.500 0.405 0.307
0.500 0.905 0.193
0.500 0.193 0.095
0.500 0.000 0.500
0.500 0.693 0.405
0.500 0.807 0.905
0.500 0.595 0.693
0.000 0.332 0.832
0.000 0.668 0.168
0.000 0.168 0.332
0.000 0.832 0.668
0.000 0.625 0.875
0.000 0.125 0.625
0.000 0.375 0.125
0.000 0.875 0.375
```

Output
V   373.50 Å³ per cell
Energy relative to the elements   -91 meV per atom

Record 7
An optimized crystal structure of LaCd2CuAu4. Source: Alexandria via LeMat-Bulk, functional PBE.

Cell and atoms, written as POSCAR:
```
LaCd2CuAu4
1.0
-3.622 2.161 -2.067
-0.426 -0.083 -4.677
-6.088 -6.713 -1.684
La Au Cu Cd
1 4 1 2
Direct
0.000 0.000 0.000
0.397 0.397 0.810
0.603 0.603 0.190
0.868 0.868 0.397
0.132 0.132 0.603
0.500 0.500 0.500
0.241 0.241 0.276
0.759 0.759 0.724
```

Output
V   168.31 Å³ per cell
Energy relative to the elements   -352 meV per atom

Record 8
An optimized crystal structure of Li2Cd2CuAu5. Source: Alexandria via LeMat-Bulk, functional PBE.

Cell and atoms, written as POSCAR:
```
Li2Cd2CuAu5
1.0
-1.060 -0.124 -3.763
-8.637 -2.728 2.523
-2.704 8.993 0.466
Li Cd Au Cu
4 4 10 2
Direct
0.000 0.625 0.875
0.000 0.125 0.625
0.000 0.875 0.375
0.000 0.375 0.125
0.000 0.672 0.172
0.000 0.172 0.328
0.000 0.828 0.672
0.000 0.328 0.828
0.500 0.304 0.582
0.500 0.804 0.918
0.500 0.418 0.304
0.500 0.918 0.196
0.500 0.582 0.696
0.500 0.000 0.500
0.500 0.196 0.082
0.500 0.696 0.418
0.500 0.082 0.804
0.500 0.500 0.000
0.000 0.000 0.000
0.000 0.500 0.500
```

Output
V   345.76 Å³ per cell
Energy relative to the elements   -219 meV per atom

Record 9
An optimized crystal structure of LiCdCuAu. Source: Alexandria via LeMat-Bulk, functional PBE.

Cell and atoms, written as POSCAR:
```
LiCdCuAu
1.0
-0.358 4.229 -1.417
-2.440 2.941 2.328
2.020 3.294 2.256
Cu Au Cd Li
1 1 1 1
Direct
0.500 0.500 0.500
0.250 0.250 0.250
0.750 0.750 0.750
0.000 0.000 0.000
```

Output
V   63.35 Å³ per cell
Energy relative to the elements   -260 meV per atom

Record 10
An optimized crystal structure of LiCd2Cu2Au5. Source: Alexandria via LeMat-Bulk, functional PBE.

Cell and atoms, written as POSCAR:
```
LiCd2Cu2Au5
1.0
4.102 0.000 0.000
0.000 9.330 0.000
0.000 0.000 9.330
Cd Au Cu Li
4 10 4 2
Direct
0.000 0.172 0.328
0.000 0.328 0.828
0.000 0.672 0.172
0.000 0.828 0.672
0.500 0.000 0.500
0.500 0.586 0.694
0.500 0.414 0.306
0.500 0.806 0.914
0.500 0.500 0.000
0.500 0.194 0.086
0.500 0.086 0.806
0.500 0.694 0.414
0.500 0.914 0.194
0.500 0.306 0.586
0.000 0.877 0.377
0.000 0.377 0.123
0.000 0.123 0.623
0.000 0.623 0.877
0.000 0.500 0.500
0.000 0.000 0.000
```

Output
V   357.08 Å³ per cell
Energy relative to the elements   -163 meV per atom

Record 11
An optimized crystal structure of LiCdCu2Au. Source: Alexandria via LeMat-Bulk, functional PBE.

Cell and atoms, written as POSCAR:
```
LiCdCu2Au
1.0
4.226 0.000 0.000
0.000 4.586 0.000
0.000 0.000 4.226
Li Cu Au Cd
1 2 1 1
Direct
0.000 0.000 0.000
0.000 0.000 0.500
0.500 0.000 0.000
0.500 0.500 0.500
0.000 0.500 0.000
```

Output
V   81.91 Å³ per cell
Energy relative to the elements   525 meV per atom

Record 12
An optimized crystal structure of LuCdCuAu. Source: Alexandria via LeMat-Bulk, functional PBE.

Cell and atoms, written as POSCAR:
```
LuCdCuAu
1.0
4.775 0.000 0.000
2.388 4.135 0.000
2.388 1.378 3.899
Cu Lu Cd Au
1 1 1 1
Direct
0.000 0.000 0.000
0.250 0.250 0.250
0.750 0.750 0.750
0.500 0.500 0.500
```

Output
V   76.99 Å³ per cell
Energy relative to the elements   -422 meV per atom

Record 13
An optimized crystal structure of MgCd2Cu2Au5. Source: Alexandria via LeMat-Bulk, functional PBE.

Cell and atoms, written as POSCAR:
```
MgCd2Cu2Au5
1.0
-2.931 0.080 -2.945
4.054 -7.276 -4.233
-5.238 -5.858 5.052
Cu Au Mg Cd
4 10 2 4
Direct
0.000 0.377 0.123
0.000 0.123 0.623
0.000 0.877 0.377
0.000 0.623 0.877
0.500 0.697 0.416
0.500 0.084 0.803
0.500 0.803 0.916
0.500 0.197 0.084
0.500 0.916 0.197
0.500 0.000 0.500
0.500 0.584 0.697
0.500 0.500 0.000
0.500 0.416 0.303
0.500 0.303 0.584
0.000 0.000 0.000
0.000 0.500 0.500
0.000 0.329 0.829
0.000 0.671 0.171
0.000 0.171 0.329
0.000 0.829 0.671
```

Output
V   362.75 Å³ per cell
Energy relative to the elements   -186 meV per atom

Record 14
An optimized crystal structure of Mg2CdCuAu5. Source: Alexandria via LeMat-Bulk, functional PBE.

Cell and atoms, written as POSCAR:
```
Mg2CdCuAu5
1.0
8.021 0.000 0.000
0.000 8.021 0.000
-4.010 -4.010 5.450
Mg Au Cu Cd
4 10 2 2
Direct
0.380 0.880 0.000
0.880 0.620 0.000
0.120 0.380 0.000
0.620 0.120 0.000
0.825 0.945 0.270
0.055 0.555 0.730
0.945 0.445 0.270
0.500 0.500 0.000
0.675 0.175 0.730
0.000 0.000 0.000
0.325 0.825 0.270
0.175 0.055 0.730
0.445 0.325 0.270
0.555 0.675 0.730
0.250 0.750 0.500
0.750 0.250 0.500
0.250 0.250 0.500
0.750 0.750 0.500
```

Output
V   350.58 Å³ per cell
Energy relative to the elements   -119 meV per atom

Record 15
An optimized crystal structure of Mg2CdCuAu4. Source: Alexandria via LeMat-Bulk, functional PBE.

Cell and atoms, written as POSCAR:
```
Mg2CdCuAu4
1.0
4.643 0.000 0.000
2.322 4.021 0.000
2.322 1.340 7.552
Au Mg Cd Cu
4 2 1 1
Direct
0.382 0.382 0.855
0.618 0.618 0.145
0.871 0.871 0.387
0.129 0.129 0.613
0.250 0.250 0.251
0.750 0.750 0.749
0.000 0.000 0.000
0.500 0.500 0.500
```

Output
V   140.99 Å³ per cell
Energy relative to the elements   -363 meV per atom

Record 16
An optimized crystal structure of MnCdCuAu2. Source: Alexandria via LeMat-Bulk, functional PBE.

Cell and atoms, written as POSCAR:
```
MnCdCuAu2
1.0
-3.646 -1.870 2.535
2.915 -3.364 1.711
1.117 2.857 3.715
Cu Au Mn Cd
1 2 1 1
Direct
0.000 0.000 0.000
0.000 0.000 0.500
0.500 0.000 0.000
0.500 0.500 0.500
0.000 0.500 0.000
```

Output
V   110.71 Å³ per cell
Energy relative to the elements   587 meV per atom

Record 17
An optimized crystal structure of NaCdCuAu. Source: Alexandria via LeMat-Bulk, functional PBE.

Cell and atoms, written as POSCAR:
```
NaCdCuAu
1.0
-4.381 -1.674 0.345
-2.209 -1.614 -3.826
-0.801 -4.609 -0.484
Cu Cd Au Na
1 1 1 1
Direct
0.250 0.250 0.250
0.750 0.750 0.750
0.500 0.500 0.500
0.000 0.000 0.000
```

Output
V   73.55 Å³ per cell
Energy relative to the elements   -34 meV per atom

Record 18
An optimized crystal structure of Na2CdCu2Au5. Source: Alexandria via LeMat-Bulk, functional PBE.

Cell and atoms, written as POSCAR:
```
Na2CdCu2Au5
1.0
4.028 0.000 0.000
0.000 9.657 0.000
0.000 0.000 9.657
Au Na Cu Cd
10 4 4 2
Direct
0.500 0.430 0.293
0.500 0.500 0.000
0.500 0.707 0.430
0.500 0.207 0.070
0.500 0.000 0.500
0.500 0.930 0.207
0.500 0.793 0.930
0.500 0.293 0.570
0.500 0.070 0.793
0.500 0.570 0.707
0.000 0.675 0.175
0.000 0.825 0.675
0.000 0.325 0.825
0.000 0.175 0.325
0.000 0.122 0.622
0.000 0.622 0.878
0.000 0.378 0.122
0.000 0.878 0.378
0.000 0.000 0.000
0.000 0.500 0.500
```

Output
V   375.66 Å³ per cell
Energy relative to the elements   -184 meV per atom

Record 19
An optimized crystal structure of NbCdCuAu. Source: Alexandria via LeMat-Bulk, functional PBE.

Cell and atoms, written as POSCAR:
```
NbCdCuAu
1.0
4.605 0.000 0.000
2.303 3.988 0.000
2.303 1.329 3.760
Cu Cd Nb Au
1 1 1 1
Direct
0.000 0.000 0.000
0.250 0.250 0.250
0.750 0.750 0.750
0.500 0.500 0.500
```

Output
V   69.07 Å³ per cell
Energy relative to the elements   97 meV per atom

Record 20
An optimized crystal structure of NbCd2CuAu. Source: Alexandria via LeMat-Bulk, functional PBE.

Cell and atoms, written as POSCAR:
```
NbCd2CuAu
1.0
-2.573 3.008 2.681
-0.987 -3.543 3.028
3.906 1.079 2.537
Cd Au Cu Nb
2 1 1 1
Direct
0.500 0.000 0.000
0.000 0.000 0.500
0.500 0.500 0.500
0.000 0.000 0.000
0.000 0.500 0.000
```

Output
V   108.87 Å³ per cell
Energy relative to the elements   661 meV per atom

Record 21
An optimized crystal structure of NdCdCuAu. Source: Alexandria via LeMat-Bulk, functional PBE.

Cell and atoms, written as POSCAR:
```
NdCdCuAu
1.0
4.946 0.000 0.000
2.473 4.283 0.000
2.473 1.428 4.038
Cu Au Cd Nd
1 1 1 1
Direct
0.000 0.000 0.000
0.500 0.500 0.500
0.750 0.750 0.750
0.250 0.250 0.250
```

Output
V   85.56 Å³ per cell
Energy relative to the elements   -388 meV per atom

Record 22
An optimized crystal structure of PaCdCuAu. Source: Alexandria via LeMat-Bulk, functional PBE.

Cell and atoms, written as POSCAR:
```
PaCdCuAu
1.0
4.860 0.000 0.000
2.430 4.209 0.000
2.430 1.403 3.968
Pa Au Cu Cd
1 1 1 1
Direct
0.250 0.250 0.250
0.500 0.500 0.500
0.000 0.000 0.000
0.750 0.750 0.750
```

Output
V   81.15 Å³ per cell
Energy relative to the elements   -151 meV per atom

Record 23
An optimized crystal structure of CdCuPdAu2. Source: Alexandria via LeMat-Bulk, functional PBE.

Cell and atoms, written as POSCAR:
```
CdCuPdAu2
1.0
4.745 0.000 0.000
0.000 4.784 0.000
0.000 0.000 4.745
Au Cd Cu Pd
2 1 1 1
Direct
0.500 0.000 0.000
0.000 0.000 0.500
0.000 0.500 0.000
0.000 0.000 0.000
0.500 0.500 0.500
```

Output
V   107.72 Å³ per cell
Energy relative to the elements   518 meV per atom

| no. | total energy (eV per atom) |
| --- | --- |
| 1 | -5.9985 |
| 2 | -3.0194 |
| 3 | -2.4502 |
| 4 | -3.0194 |
| 5 | -2.0807 |
| 6 | -3.1883 |
| 7 | -3.3469 |
| 8 | -2.8332 |
| 9 | -2.8105 |
| 10 | -2.9952 |
| 11 | -2.3352 |
| 12 | -3.6240 |
| 13 | -2.9866 |
| 14 | -2.8511 |
| 15 | -3.0265 |
| 16 | -3.5606 |
| 17 | -2.4354 |
| 18 | -2.9969 |
| 19 | -4.4930 |
| 20 | -3.1937 |
| 21 | -3.6526 |
| 22 | -4.5968 |
| 23 | -2.8337 |